The following is a DFT calculation (PBE) of an optimized crystal structure of Cd5Ag2Hg2.

Lattice parameters (Å, degrees): 4.255 5.253 9.782 75.89 83.65 67.64
Space group P-1 (No. 2)
Symmetry-distinct sites (fractional):
Cd 0.000 0.000 0.000
Cd 0.029 0.670 0.319
Cd 0.363 0.124 0.204
Ag 0.313 0.442 0.899
Hg 0.315 0.773 0.565

crystal system	triclinic
DFT formation energy	0	kJ/mol of atoms
excess energy over the best structure of this formula in the dataset	0	meV/atom
V	21.8	A^3/atom